Compound: CsGa3Cl
Source: the Alexandria database
Functional: PBE-GGA
Structure: optimized geometry

Output
Excess energy over the best structure of this formula in the dataset = 0 meV/atom
Raw formation energy = 0.0838 eV/atom
Magnetization = 0.00 μB/f.u.

Cell lengths 5.6672, 5.6672, 5.6672 Å; angles 90.00, 90.00, 90.00 degrees
With the nearest neighbours (Å) after each atom.
Space group Pm-3m (No. 221)
Asymmetric unit:
Cs 0.0000 0.0000 0.0000 (multiplicity 1)  12 Ga 4.01
Ga 0.0000 0.5000 0.5000 (multiplicity 3)  2 Cl 2.83
Cl 0.5000 0.5000 0.5000 (multiplicity 1)  6 Ga 2.83

***

Compound: CaNiRh2
Source: the Alexandria database
Functional: PBE-GGA
Structure: optimized geometry

Output
Excess energy over the best structure of this formula in the dataset = 10 meV/atom
Magnetization = 0.17 μB/f.u.
Calculated formation energy = 13 meV/atom

Cell lengths 2.8510, 4.3878, 5.3733 Å; angles 90.00, 104.75, 90.00 degrees
With the nearest neighbours (Å) after each atom.
Space group Pm (No. 6)
Asymmetric unit:
Ca 0.0000 0.0000 0.0000 (multiplicity 1)  3 Rh 2.68-2.90, 2 Ca 2.85, 4 Ni 2.87
Ni 0.6093 0.5000 0.2281 (multiplicity 1)  4 Rh 2.55-2.57, 2 Ni 2.85
Rh 0.3054 0.5000 0.6350 (multiplicity 1)  2 Ni 2.55, 6 Rh 2.73-2.85
Rh 0.7299 0.0000 0.4846 (multiplicity 1)  2 Ni 2.57, 1 Ca 2.68, 6 Rh 2.73-2.85

***

Compound: ZrNb4Tc
Source: the Alexandria database
Functional: PBE-GGA
Structure: optimized geometry

Output
Magnetization = 0.00 μB/f.u.
Calculated formation energy = -113 meV/atom

Cell lengths 9.9752, 4.6970, 5.5892 Å; angles 90.00, 123.59, 90.00 degrees
With the nearest neighbours (Å) after each atom.
Space group C2/m (No. 12)
Asymmetric unit:
Zr 0.0000 0.0000 0.0000 (multiplicity 2)  2 Tc 2.79, 6 Nb 2.94-3.01
Nb 0.1542 0.5000 0.8176 (multiplicity 4)  5 Nb 2.79-3.00, 2 Tc 2.83, 1 Zr 3.01
Nb 0.1803 0.5000 0.3456 (multiplicity 4)  5 Nb 2.79-2.93, 1 Tc 2.80, 2 Zr 2.94
Tc 0.0000 0.0000 0.5000 (multiplicity 2)  2 Zr 2.79, 6 Nb 2.80-2.83

***

Compound: TeRhBr2
Source: the Alexandria database
Functional: PBE-GGA
Structure: optimized geometry

Output
Raw formation energy = 0.5140 eV/atom
Magnetization = 0.00 μB/f.u.

Cell lengths 3.3100, 4.7251, 5.7769 Å; angles 90.00, 90.00, 90.00 degrees
With the nearest neighbours (Å) after each atom.
Space group Pmmm (No. 47)
Asymmetric unit:
Te 0.0000 0.0000 0.0000 (multiplicity 1)  4 Br 2.88
Rh 0.5000 0.0000 0.5000 (multiplicity 1)  4 Br 2.88
Br 0.0000 0.5000 0.5000 (multiplicity 1)  4 Rh 2.88
Br 0.5000 0.5000 0.0000 (multiplicity 1)  4 Te 2.88

***

Compound: Cs2ThF6
Source: the Alexandria database
Functional: PBE-GGA
Structure: optimized geometry

Output
Raw formation energy = -3.6032 eV/atom
Magnetization = 0.00 μB/f.u.

Cell lengths 14.2814, 6.9502, 4.2670 Å; angles 90.00, 107.23, 90.00 degrees
With the nearest neighbours (Å) after each atom.
Space group C2/m (No. 12)
Asymmetric unit:
Cs 0.1678 0.0000 0.1663 (multiplicity 4)  8 F 3.01-3.19
Th 0.0000 0.5000 0.5000 (multiplicity 2)  8 F 2.28-2.47
F 0.0000 0.3202 0.0000 (multiplicity 4)  2 Th 2.47, 1 F 2.50
F 0.1306 0.2958 0.6294 (multiplicity 8)  1 Th 2.28

***

Compound: MgNiW
Source: the Alexandria database
Functional: PBE-GGA
Structure: optimized geometry

Output
Excess energy over the best structure of this formula in the dataset = 151 meV/atom
Magnetization = 0.00 μB/f.u.
Calculated formation energy = 238 meV/atom

Cell lengths 4.3953, 4.8812, 5.3466 Å; angles 66.81, 65.86, 63.32 degrees
With the nearest neighbours (Å) after each atom.
Space group P1 (No. 1)
Asymmetric unit:
Mg 0.0000 0.0000 0.0000 (multiplicity 1)  3 Ni 2.54-2.58, 3 Mg 2.73-2.76, 1 W 2.82
Mg 0.2907 0.3611 0.0574 (multiplicity 1)  3 Ni 2.59-2.62, 3 Mg 2.73-2.76, 1 W 2.78
Ni 0.6623 0.6970 0.9779 (multiplicity 1)  2 W 2.43-2.47, 1 Ni 2.51, 4 Mg 2.58-2.62
Ni 0.9907 0.4611 0.5588 (multiplicity 1)  1 Ni 2.51, 2 Mg 2.54-2.59, 4 W 2.57-2.67
W 0.3813 0.7791 0.4609 (multiplicity 1)  3 Ni 2.47-2.58, 2 W 2.72-2.74
W 0.6698 0.1182 0.5410 (multiplicity 1)  3 Ni 2.43-2.67

***

Please write out number 6 again, unchanged.
Compound: MgNiW
Source: the Alexandria database
Functional: PBE-GGA
Structure: optimized geometry

Output
Excess energy over the best structure of this formula in the dataset = 151 meV/atom
Magnetization = 0.00 μB/f.u.
Calculated formation energy = 238 meV/atom

Cell lengths 4.3953, 4.8812, 5.3466 Å; angles 66.81, 65.86, 63.32 degrees
With the nearest neighbours (Å) after each atom.
Space group P1 (No. 1)
Asymmetric unit:
Mg 0.0000 0.0000 0.0000 (multiplicity 1)  3 Ni 2.54-2.58, 3 Mg 2.73-2.76, 1 W 2.82
Mg 0.2907 0.3611 0.0574 (multiplicity 1)  3 Ni 2.59-2.62, 3 Mg 2.73-2.76, 1 W 2.78
Ni 0.6623 0.6970 0.9779 (multiplicity 1)  2 W 2.43-2.47, 1 Ni 2.51, 4 Mg 2.58-2.62
Ni 0.9907 0.4611 0.5588 (multiplicity 1)  1 Ni 2.51, 2 Mg 2.54-2.59, 4 W 2.57-2.67
W 0.3813 0.7791 0.4609 (multiplicity 1)  3 Ni 2.47-2.58, 2 W 2.72-2.74
W 0.6698 0.1182 0.5410 (multiplicity 1)  3 Ni 2.43-2.67